Record 1
Here is a relaxed structure of Ca3Ga8 from Alexandria via LeMat-Bulk. Energies are from GGA-PBEsol.

Lattice parameters (Å, degrees): 4.2558 4.2193 13.0605 99.30 99.38 90.00
Positions (direct):
Ca 0.6456 0.1456 0.2911
Ga 0.9056 0.4056 0.8111
Ga 0.1906 0.6906 0.3812
Ga 0.8094 0.3094 0.6188
Ga 0.4518 0.4518 0.9037
Ga 0.5482 0.5482 0.0963
Ga 0.2503 0.2503 0.5006
Ca 0.3544 0.8544 0.7089
Ca 0.0000 0.0000 0.0000
Ga 0.0945 0.5944 0.1889
Ga 0.7497 0.7497 0.4994

Results
calculated density: 4.9 g cm⁻³
energy of formation from the pure elements: -5.22 eV per formula unit
electronic total energy: -3.4852 eV/atom



Record 2
Here is a relaxed structure of Ca3GaGe from Alexandria via LeMat-Bulk. Energies are from GGA-PBEsol.

Lattice parameters (Å, degrees): 5.5136 5.5136 5.5136 90.00 90.00 90.00
Positions (direct):
Ca 0.5000 0.0000 0.0000
Ga 0.0000 0.0000 0.0000
Ge 0.5000 0.5000 0.5000
Ca 0.0000 0.5000 0.0000
Ca 0.0000 0.0000 0.5000

Results
calculated density: 2.6 g cm⁻³
energy of formation from the pure elements: 0.45 eV per formula unit
electronic total energy: -2.8458 eV/atom



Record 3
Here is a relaxed structure of CaGaGeH from Alexandria via LeMat-Bulk. Energies are from GGA-PBEsol.

Lattice parameters (Å, degrees): 4.0968 4.0968 4.6421 90.00 90.00 120.00
Positions (direct):
Ge 0.3333 0.6667 0.5765
H 0.0000 0.0000 0.0642
Ca 0.6667 0.3333 0.0031
Ga 0.0000 0.0000 0.4375

Results
calculated density: 4.5 g cm⁻³
electronic total energy: -3.9056 eV/atom



Record 4
Here is a relaxed structure of CaGaNi2Ge from Alexandria via LeMat-Bulk. Energies are from GGA-PBEsol.

Lattice parameters (Å, degrees): 4.4791 4.4791 5.2472 90.00 90.00 90.00
Positions (direct):
Ge 0.0000 0.0000 0.5000
Ca 0.0000 0.0000 0.0000
Ni 0.0000 0.5000 0.0000
Ga 0.5000 0.5000 0.5000
Ni 0.5000 0.0000 0.0000

Results
calculated density: 4.7 g cm⁻³
energy of formation from the pure elements: 6.88 eV per formula unit
electronic total energy: -3.1694 eV/atom



Record 5
Here is a relaxed structure of Ca3Ga2Ge4O14 from Alexandria via LeMat-Bulk. Energies are from GGA-PBEsol.

Lattice parameters (Å, degrees): 4.9747 8.0358 8.0358 60.86 88.86 88.86
Positions (direct):
O 0.6893 0.6844 0.4570
O 0.1879 0.6641 0.6674
O 0.7634 0.1377 0.7935
O 0.2366 0.2065 0.8623
O 0.7567 0.7784 0.0819
Ca 0.0003 0.5770 0.9944
Ge 0.5329 0.6704 0.6672
O 0.8121 0.3326 0.3359
O 0.7030 0.4664 0.8422
O 0.3107 0.5430 0.3156
O 0.3152 0.3224 0.1391
Ge 0.5000 0.7571 0.2429
Ge 0.4671 0.3328 0.3296
Ge 0.0000 0.9995 0.0005
Ca 0.9997 0.0056 0.4230
O 0.2433 0.9181 0.2216
O 0.6848 0.8609 0.6776
O 0.7793 0.0727 0.1454
Ca 0.0000 0.4113 0.5887
Ga 0.4836 0.0093 0.7626
O 0.2207 0.8546 0.9273
O 0.2970 0.1578 0.5336
Ga 0.5164 0.2374 0.9907

Results
calculated density: 4.6 g cm⁻³
formation energy (no corrections): -2.193 eV/atom
electronic total energy: -6.8155 eV/atom



Record 6
Here is a relaxed structure of Ca2Ga2GeO7 from Alexandria via LeMat-Bulk. Energies are from GGA-PBEsol.

Lattice parameters (Å, degrees): 5.1728 7.8705 7.8948 90.00 91.51 90.00
Positions (direct):
O 0.7795 0.0832 0.9193
O 0.6850 0.3571 0.6098
O 0.1998 0.5194 0.7394
Ca 0.5267 0.6510 0.5723
O 0.7127 0.6406 0.8894
Ca 0.5045 0.3341 0.8945
O 0.7948 0.8999 0.5929
Ga 0.9969 0.0015 0.7554
O 0.2131 0.1666 0.6786
Ga 0.0031 0.5015 0.2446
Ge 0.0457 0.6459 0.8928
Ca 0.4733 0.1510 0.4277
Ge 0.9543 0.1459 0.1072
O 0.7981 0.3441 0.1323
O 0.8002 0.0194 0.2606
O 0.3150 0.8571 0.3902
O 0.2205 0.5832 0.0807
O 0.2019 0.8441 0.8677
O 0.7869 0.6666 0.3214
Ga 0.9697 0.8567 0.3970
O 0.2872 0.1406 0.1106
O 0.2052 0.3999 0.4071
Ca 0.4955 0.8341 0.1055
Ga 0.0303 0.3567 0.6030

Results
calculated density: 4.2 g cm⁻³
formation energy (no corrections): -2.304 eV/atom
electronic total energy: -6.6903 eV/atom



Q: Which of these has the highest electronic total energy?
A: Ca3GaGe